# AcSm12Ho2 PBE relaxed
data_AcSm12Ho2
_cell_length_a 6.491
_cell_length_b 6.491
_cell_length_c 25.826
_cell_angle_alpha 90.00
_cell_angle_beta 90.00
_cell_angle_gamma 90.00
_space_group_name_H-M_alt 'P 4/n b m'
_space_group_IT_number 125
loop_
_space_group_symop_operation_xyz
'x,y,z'
'-x,-y,-z'
'-y+1/2,x,z'
'y+1/2,-x,-z'
'-x+1/2,-y+1/2,z'
'x+1/2,y+1/2,-z'
'y,-x+1/2,z'
'-y,x+1/2,-z'
'x,-y+1/2,-z'
'-x,y+1/2,z'
'-y+1/2,-x+1/2,-z'
'y+1/2,x+1/2,z'
'-x+1/2,y,-z'
'x+1/2,-y,z'
'y,x,-z'
'-y,-x,z'
loop_
_atom_site_label
_atom_site_type_symbol
_atom_site_fract_x
_atom_site_fract_y
_atom_site_fract_z
_atom_site_occupancy
Ac1 Ac 0.250 0.750 0.000 1
Sm1 Sm 0.069 0.569 0.123 1
Sm2 Sm 0.082 0.582 0.561 1
Sm3 Sm 0.250 0.250 0.222 1
Sm4 Sm 0.250 0.250 0.341 1
Ho1 Ho 0.250 0.750 0.278 1
# E_tot   -4.37 eV per atom
# Total magnetic moment   0.00 Bohr magnetons per cell

=====

# AcSmHoSn PBE relaxed
data_AcSmHoSn
_cell_length_a 7.895
_cell_length_b 7.895
_cell_length_c 7.895
_cell_angle_alpha 90.00
_cell_angle_beta 90.00
_cell_angle_gamma 90.00
_space_group_name_H-M_alt 'F -4 3 m'
_space_group_IT_number 216
_space_group_name_Hall 'F -4 2 3'
loop_
_atom_site_label
_atom_site_type_symbol
_atom_site_fract_x
_atom_site_fract_y
_atom_site_fract_z
_atom_site_occupancy
Ac1 Ac 0.000 0.000 0.000 1
Sm1 Sm 0.250 0.250 0.250 1
Ho1 Ho 0.250 0.250 0.750 1
Sn1 Sn 0.000 0.000 0.500 1
# E_tot   -4.53 eV per atom
# Total magnetic moment   0.00 Bohr magnetons per cell

=====

# AcTb2Sm2Ho2 PBE relaxed
data_AcTb2Sm2Ho2
_cell_length_a 11.448
_cell_length_b 5.146
_cell_length_c 8.136
_cell_angle_alpha 90.00
_cell_angle_beta 98.23
_cell_angle_gamma 90.00
_space_group_name_H-M_alt 'C 1 2/m 1'
_space_group_IT_number 12
_space_group_name_Hall '-C 2y'
loop_
_atom_site_label
_atom_site_type_symbol
_atom_site_fract_x
_atom_site_fract_y
_atom_site_fract_z
_atom_site_occupancy
Ac1 Ac 0.000 0.000 0.000 1
Tb1 Tb 0.215 0.500 0.150 1
Sm1 Sm 0.074 0.500 0.709 1
Ho1 Ho 0.143 0.000 0.434 1
# E_tot   -4.53 eV per atom
# Total magnetic moment   0.00 Bohr magnetons per cell